Record 1
A plane-wave DFT calculation with PBE was carried out for a geometry-optimized Tc3Hg2 structure.

Lattice parameters (Å, degrees): 9.4561 14.2277 5.4043 90.00 90.00 90.00
With the nearest neighbours (Å) after each atom.
Space group Fdd2 (No. 43)
Asymmetric unit:
Tc (0.0000, 0.0000, 0.0000) [8 per cell]  2 Tc 2.33
Tc (0.0426, 0.1051, 0.3223) [16 per cell]  1 Tc 2.33
Hg (0.0579, 0.2019, 0.8419) [16 per cell]  8 Tc 2.78-3.05

Output
Fermi-level density of states (states/eV per atom): 1.12
ΔE to the lowest computed polymorph (meV/atom): 186
Calculated volume (A^3/atom): 18.18
Formation energy from the elements (eV/atom): 0.644

Record 2
A plane-wave DFT calculation with PBE was carried out for a geometry-optimized Tc2Hg structure.

Lattice parameters (Å, degrees): 7.4417 7.4417 7.4417 90.00 90.00 90.00
With the nearest neighbours (Å) after each atom.
Space group Fd-3m (No. 227, origin choice 2)
Asymmetric unit:
Tc (0.0000, 0.0000, 0.0000) [16 per cell]  6 Tc 2.63
Hg (0.1250, 0.1250, 0.6250) [8 per cell]  12 Tc 3.09, 4 Hg 3.22

Output
Fermi-level density of states (states/eV per atom): 1.18
ΔE to the lowest computed polymorph (meV/atom): 423
Calculated volume (A^3/atom): 17.17
Formation energy from the elements (eV/atom): 0.674

Record 3
A plane-wave DFT calculation with PBE was carried out for a geometry-optimized Tc5Hg structure.

Lattice parameters (Å, degrees): 2.8093 2.8093 13.6683 90.00 90.00 120.00
With the nearest neighbours (Å) after each atom.
Space group P-6m2 (No. 187)
Asymmetric unit:
Tc (0.0000, 0.0000, 0.0000) [1 per cell]  12 Tc 2.75-2.81
Tc (0.0000, 0.0000, 0.3137) [2 per cell]  9 Tc 2.63-2.81
Tc (0.3333, 0.6667, 0.1621) [2 per cell]  12 Tc 2.63-2.81
Hg (0.3333, 0.6667, 0.5000) [1 per cell]  6 Hg 2.81, 6 Tc 3.02

Output
Fermi-level density of states (states/eV per atom): 1.19
ΔE to the lowest computed polymorph (meV/atom): 0
Calculated volume (A^3/atom): 15.57
Formation energy from the elements (eV/atom): 0.190

Record 4
A plane-wave DFT calculation with PBE was carried out for a geometry-optimized Tc2Hg structure.

Lattice parameters (Å, degrees): 2.9121 3.7837 8.9712 90.00 90.00 90.00
With the nearest neighbours (Å) after each atom.
Space group Immm (No. 71)
Asymmetric unit:
Tc (0.0000, 0.0000, 0.1835) [4 per cell]  6 Tc 2.67-2.91, 5 Hg 2.84-2.90
Hg (0.0000, 0.0000, 0.5000) [2 per cell]  10 Tc 2.84-2.90, 2 Hg 2.91

Output
Fermi-level density of states (states/eV per atom): 1.03
ΔE to the lowest computed polymorph (meV/atom): 192
Calculated volume (A^3/atom): 16.47
Formation energy from the elements (eV/atom): 0.444

Record 5
A plane-wave DFT calculation with PBE was carried out for a geometry-optimized TcHg2 structure.

Lattice parameters (Å, degrees): 5.1583 5.1583 14.7849 90.00 90.00 120.00
With the nearest neighbours (Å) after each atom.
Space group R32 (No. 155, hexagonal axes)
Asymmetric unit:
Tc (0.0000, 0.0000, 0.1705) [6 per cell]  9 Hg 2.97-3.03, 3 Tc 2.98
Hg (0.0000, 0.0000, 0.5000) [3 per cell]  6 Tc 2.98, 6 Hg 3.02
Hg (0.0000, 0.6746, 0.0000) [9 per cell]  8 Hg 2.91-3.02, 4 Tc 2.97-3.03

Output
Fermi-level density of states (states/eV per atom): 0.61
ΔE to the lowest computed polymorph (meV/atom): 326
Calculated volume (A^3/atom): 18.93
Formation energy from the elements (eV/atom): 0.594

Record 6
A plane-wave DFT calculation with PBE was carried out for a geometry-optimized Tc5Hg structure.

Lattice parameters (Å, degrees): 10.1944 2.8475 6.5993 90.00 104.97 90.00
With the nearest neighbours (Å) after each atom.
Space group Cm (No. 8)
Asymmetric unit:
Tc (0.0000, 0.0000, 0.0000) [2 per cell]  10 Tc 2.66-2.85, 2 Hg 2.87
Tc (0.0454, 0.0000, 0.6182) [2 per cell]  10 Tc 2.64-2.95, 2 Hg 2.86
Tc (0.2266, 0.5000, 0.9351) [2 per cell]  11 Tc 2.66-2.85, 1 Hg 2.90
Tc (0.3435, 0.0000, 0.6896) [2 per cell]  9 Tc 2.64-2.95, 2 Hg 2.86
Tc (0.3913, 0.0000, 0.2655) [2 per cell]  9 Tc 2.71-2.96, 3 Hg 2.78-2.81
Hg (0.1726, 0.5000, 0.3451) [2 per cell]  10 Tc 2.78-2.90, 2 Hg 2.85

Output
Fermi-level density of states (states/eV per atom): 1.17
ΔE to the lowest computed polymorph (meV/atom): 82
Calculated volume (A^3/atom): 15.42
Formation energy from the elements (eV/atom): 0.272

Record 7
A plane-wave DFT calculation with PBE was carried out for a geometry-optimized Tc4Hg structure.

Lattice parameters (Å, degrees): 4.9245 4.9245 4.9245 90.00 90.00 90.00
With the nearest neighbours (Å) after each atom.
Space group Pm-3m (No. 221)
Asymmetric unit:
Tc (0.0000, 0.0000, 0.0000) [1 per cell]  12 Tc 3.48
Tc (0.0000, 0.5000, 0.5000) [3 per cell]  2 Hg 2.46
Hg (0.5000, 0.5000, 0.5000) [1 per cell]  6 Tc 2.46

Output
Fermi-level density of states (states/eV per atom): 1.61
ΔE to the lowest computed polymorph (meV/atom): 2590
Calculated volume (A^3/atom): 23.88
Formation energy from the elements (eV/atom): 2.932

Record 8
A plane-wave DFT calculation with PBE was carried out for a geometry-optimized TcHg5 structure.

Lattice parameters (Å, degrees): 5.6138 5.6138 14.2785 90.00 90.00 120.00
With the nearest neighbours (Å) after each atom.
Space group R32 (No. 155, hexagonal axes)
Asymmetric unit:
Tc (0.0000, 0.0000, 0.0000) [3 per cell]  12 Hg 2.94-3.25
Hg (0.0000, 0.0000, 0.3542) [6 per cell]  9 Hg 3.05-3.30, 3 Tc 3.25
Hg (0.0000, 0.6019, 0.5000) [9 per cell]  2 Tc 2.94, 8 Hg 2.98-3.18

Output
Fermi-level density of states (states/eV per atom): 0.83
ΔE to the lowest computed polymorph (meV/atom): 125
Calculated volume (A^3/atom): 21.65
Formation energy from the elements (eV/atom): 0.468

Record 9
A plane-wave DFT calculation with PBE was carried out for a geometry-optimized TcHg5 structure.

Lattice parameters (Å, degrees): 5.5958 5.5958 5.7240 90.00 90.00 120.00
With the nearest neighbours (Å) after each atom.
Space group P6/mmm (No. 191)
Asymmetric unit:
Tc (0.0000, 0.0000, 0.0000) [1 per cell]  6 Hg 3.23
Hg (0.0000, 0.5000, 0.5000) [3 per cell]  4 Hg 2.80
Hg (0.3333, 0.6667, 0.0000) [2 per cell]  3 Tc 3.23, 9 Hg 3.23-3.29

Output
Fermi-level density of states (states/eV per atom): 0.58
ΔE to the lowest computed polymorph (meV/atom): 442
Calculated volume (A^3/atom): 25.87
Formation energy from the elements (eV/atom): 0.784

Record 10
A plane-wave DFT calculation with PBE was carried out for a geometry-optimized Tc2Hg structure.

Lattice parameters (Å, degrees): 10.5249 2.9010 6.7109 90.00 105.67 90.00
With the nearest neighbours (Å) after each atom.
Space group Cm (No. 8)
Asymmetric unit:
Tc (0.0000, 0.0000, 0.0000) [2 per cell]  7 Tc 2.66-2.90, 4 Hg 2.80-2.83
Tc (0.0479, 0.0000, 0.6130) [2 per cell]  7 Tc 2.76-2.95, 5 Hg 2.82-2.92
Tc (0.2019, 0.5000, 0.9397) [2 per cell]  8 Tc 2.69-2.90, 3 Hg 2.75-2.90
Tc (0.3925, 0.0000, 0.2438) [2 per cell]  8 Tc 2.66-2.95, 3 Hg 2.79-2.97
Hg (0.1670, 0.5000, 0.3315) [2 per cell]  8 Tc 2.75-2.97, 4 Hg 2.88-2.90
Hg (0.3322, 0.0000, 0.6766) [2 per cell]  8 Tc 2.80-3.14, 4 Hg 2.88-2.90

Output
Fermi-level density of states (states/eV per atom): 0.93
ΔE to the lowest computed polymorph (meV/atom): 309
Calculated volume (A^3/atom): 16.44
Formation energy from the elements (eV/atom): 0.560

Record 11
A plane-wave DFT calculation with PBE was carried out for a geometry-optimized Tc2Hg structure.

Lattice parameters (Å, degrees): 4.9964 4.9964 4.5439 90.00 90.00 120.00
With the nearest neighbours (Å) after each atom.
Space group P-62m (No. 189)
Asymmetric unit:
Tc (0.0000, 0.0000, 0.0000) [1 per cell]  6 Tc 2.75, 6 Hg 2.88
Tc (0.0000, 0.3117, 0.5000) [3 per cell]  8 Tc 2.70-2.98, 4 Hg 2.85
Hg (0.3333, 0.6667, 0.0000) [2 per cell]  9 Tc 2.85-2.88, 3 Hg 2.88

Output
Fermi-level density of states (states/eV per atom): 1.24
ΔE to the lowest computed polymorph (meV/atom): 331
Calculated volume (A^3/atom): 16.37
Formation energy from the elements (eV/atom): 0.582

Record 12
A plane-wave DFT calculation with PBE was carried out for a geometry-optimized TcHg2 structure.

Lattice parameters (Å, degrees): 4.2447 4.2447 25.8814 90.00 90.00 90.00
With the nearest neighbours (Å) after each atom.
Space group I4_1/amd (No. 141, origin choice 2)
Asymmetric unit:
Tc (0.0000, 0.2500, 0.2805) [8 per cell]  2 Tc 2.65, 2 Hg 2.84
Hg (0.0000, 0.2500, 0.1228) [8 per cell]  8 Hg 2.97-3.05, 4 Tc 3.20-3.28
Hg (0.0000, 0.2500, 0.7923) [8 per cell]  6 Tc 2.84-3.02, 6 Hg 2.97-3.05

Output
Fermi-level density of states (states/eV per atom): 0.60
ΔE to the lowest computed polymorph (meV/atom): 341
Calculated volume (A^3/atom): 19.43
Formation energy from the elements (eV/atom): 0.609

Record 13
A plane-wave DFT calculation with PBE was carried out for a geometry-optimized Tc5Hg structure.

Lattice parameters (Å, degrees): 7.2719 7.2719 7.2719 90.00 90.00 90.00
With the nearest neighbours (Å) after each atom.
Space group F-43m (No. 216)
Asymmetric unit:
Tc (0.0000, 0.0000, 0.0000) [4 per cell]  12 Tc 3.02, 4 Hg 3.15
Tc (0.1244, 0.1244, 0.3756) [16 per cell]  6 Tc 2.56-2.58
Hg (0.2500, 0.2500, 0.7500) [4 per cell]  16 Tc 3.01-3.15

Output
Fermi-level density of states (states/eV per atom): 1.06
ΔE to the lowest computed polymorph (meV/atom): 287
Calculated volume (A^3/atom): 16.02
Formation energy from the elements (eV/atom): 0.477